[1]
Compound: RbTmOsO6
Source: Alexandria
Functional: PBE
Structure: optimized geometry

The structure in CIF format:
```
data_RbTmOsO6
_space_group_name_H-M_alt 'P 3 1 2'
_space_group_IT_number 149
_cell_length_a 5.5801
_cell_length_b 5.5801
_cell_length_c 6.1806
_cell_angle_alpha 90.00
_cell_angle_beta 90.00
_cell_angle_gamma 120.00
loop_
_space_group_symop_operation_xyz
'x,y,z'
'-y,x-y,z'
'-x+y,-x,z'
'-y,-x,-z'
'-x+y,y,-z'
'x,x-y,-z'
loop_
_atom_site_label
_atom_site_type_symbol
_atom_site_fract_x
_atom_site_fract_y
_atom_site_fract_z
Rb1 Rb 0.0000 0.0000 0.0000
Tm1 Tm 0.3333 0.6667 0.5000
Os1 Os 0.6667 0.3333 0.5000
O1 O 0.4105 0.0443 0.6764
```

---

[2]
Compound: Rb2TmOsO6
Source: Alexandria
Functional: PBE
Structure: optimized geometry

The structure in CIF format:
```
data_Rb2TmOsO6
_space_group_name_H-M_alt 'P -3 m 1'
_space_group_IT_number 164
_space_group_name_Hall '-P 3 2"'
_cell_length_a 6.4215
_cell_length_b 6.4215
_cell_length_c 5.6739
_cell_angle_alpha 90.00
_cell_angle_beta 90.00
_cell_angle_gamma 120.00
loop_
_atom_site_label
_atom_site_type_symbol
_atom_site_fract_x
_atom_site_fract_y
_atom_site_fract_z
Rb1 Rb 0.3333 0.6667 0.3676
Tm1 Tm 0.0000 0.0000 0.0000
Os1 Os 0.0000 0.0000 0.5000
O1 O 0.1363 0.2726 0.7077
```

---

[3]
Compound: RbTm2OsO8
Source: Alexandria
Functional: PBE
Structure: optimized geometry

The structure in CIF format:
```
data_RbTm2OsO8
_space_group_name_H-M_alt 'P -1'
_space_group_IT_number 2
_cell_length_a 4.590
_cell_length_b 5.158
_cell_length_c 7.338
_cell_angle_alpha 90.54
_cell_angle_beta 92.27
_cell_angle_gamma 90.62
loop_
_space_group_symop_operation_xyz
'x,y,z'
'-x,-y,-z'
loop_
_atom_site_label
_atom_site_type_symbol
_atom_site_fract_x
_atom_site_fract_y
_atom_site_fract_z
Rb1 Rb 0.000 0.000 0.000
Tm1 Tm 0.494 0.500 0.738
Os1 Os 0.000 0.000 0.500
O1 O 0.215 0.833 0.327
O2 O 0.242 0.861 0.683
O3 O 0.254 0.303 0.491
O4 O 0.265 0.482 0.997
```

---

[4]
Compound: Rb2UOs3O12
Source: Alexandria
Functional: PBE
Structure: optimized geometry

The structure in CIF format:
```
data_Rb2UOs3O12
_space_group_name_H-M_alt 'R -3 m'
_space_group_IT_number 166
_space_group_name_Hall '-R 3 2"'
_cell_length_a 7.2651
_cell_length_b 7.2651
_cell_length_c 18.7734
_cell_angle_alpha 90.00
_cell_angle_beta 90.00
_cell_angle_gamma 120.00
loop_
_atom_site_label
_atom_site_type_symbol
_atom_site_fract_x
_atom_site_fract_y
_atom_site_fract_z
Rb1 Rb 0.0000 0.0000 0.1210
U1 U 0.0000 0.0000 0.5000
Os1 Os 0.0000 0.5000 0.0000
O1 O 0.0575 0.5288 0.1040
O2 O 0.0819 0.5410 0.3448
```

---

[5]
Compound: Rb2UOsO6
Source: Alexandria
Functional: PBE
Structure: optimized geometry

The structure in CIF format:
```
data_Rb2UOsO6
_space_group_name_H-M_alt 'I 4/m m m'
_space_group_IT_number 139
_space_group_name_Hall '-I 4 2'
_cell_length_a 5.809
_cell_length_b 5.809
_cell_length_c 11.220
_cell_angle_alpha 90.00
_cell_angle_beta 90.00
_cell_angle_gamma 90.00
loop_
_atom_site_label
_atom_site_type_symbol
_atom_site_fract_x
_atom_site_fract_y
_atom_site_fract_z
Rb1 Rb 0.000 0.500 0.250
U1 U 0.000 0.000 0.000
Os1 Os 0.000 0.000 0.500
O1 O 0.000 0.000 0.169
O2 O 0.229 0.229 0.500
```

---

| no. | calculated total energy (eV per atom) | uncorrected formation energy (eV per atom) |
| --- | --- | --- |
| 1 | -6.965 | -1.8075 |
| 2 | -6.498 | -1.7597 |
| 3 | -7.005 | -1.9375 |
| 4 | -7.583 | -1.6713 |
| 5 | -7.458 | -2.0383 |